Ce2CoPt | PBE-GGA | relaxed

Size of the total moment ... 0.71 μB/cell
Formation energy ... -0.520 eV per atom

Cell: 3.5121 3.5121 6.6329 Å, 90.00 90.00 90.00°
Fractional positions:
Ce 0.0000 0.0000 0.2237
Ce 0.0000 0.0000 0.7763
Co 0.5000 0.5000 0.0000
Pt 0.5000 0.5000 0.5000